Record 1
{
  "formula": "Er2TmAuC",
  "functional": "PBE",
  "state": "relaxed",
  "cell": [[-4.3663, 1.5587, -1.2877], [1.0695, -0.8200, -4.6190], [-1.6916, -4.4149, 0.3920]],
  "species": ["Au", "C", "Er", "Tm", "Er"],
  "frac_coords": [[0.5000, 0.5000, 0.4987], [0.0000, 0.0000, 0.9999], [0.0000, 0.5000, 0.0003], [0.0000, 0.0000, 0.5003], [0.5000, 0.0000, 0.0007]],
  "ef_kcal_per_mol_atoms": -10.64,
  "magnetic_moment_mub_per_cell": 0.719
}

=====

Record 2
{
  "formula": "AuC3F",
  "functional": "PBE",
  "state": "relaxed",
  "cell": [[3.8124, 0.0000, 0.0000], [0.0000, 3.8124, 0.0000], [0.0000, 0.0000, 3.8124]],
  "species": ["Au", "C", "C", "C", "F"],
  "frac_coords": [[0.5000, 0.5000, 0.5000], [0.0000, 0.0000, 0.5000], [0.5000, 0.0000, 0.0000], [0.0000, 0.5000, 0.0000], [0.0000, 0.0000, 0.0000]],
  "e_form_raw_mev_per_atom": 3169,
  "relative_energy_mev_per_atom": 149.8,
  "magnetic_moment_mub_per_cell": 0.000
}

=====

Record 3
{
  "formula": "AuC3F",
  "functional": "PBE",
  "state": "relaxed",
  "cell": [[4.1596, 0.0000, 0.0000], [0.0000, 4.1596, 0.0000], [0.0000, 0.0000, 4.1596]],
  "species": ["C", "C", "F", "C", "Au"],
  "frac_coords": [[0.0000, 0.5000, 0.0000], [0.0000, 0.0000, 0.5000], [0.5000, 0.5000, 0.5000], [0.5000, 0.0000, 0.0000], [0.0000, 0.0000, 0.0000]],
  "e_form_raw_mev_per_atom": 3019,
  "relative_energy_mev_per_atom": 0.0,
  "magnetic_moment_mub_per_cell": 3.618
}

=====

Record 4
{
  "formula": "AuC2IF",
  "functional": "PBE",
  "state": "relaxed",
  "cell": [[-2.8958, -2.0697, 1.6163], [5.1231, -2.2637, 6.2800], [-1.1098, 3.1452, 2.0391]],
  "species": ["C", "I", "Au", "F", "C"],
  "frac_coords": [[0.0000, 0.0000, 0.5000], [0.0000, 0.5000, 0.0000], [0.0000, 0.0000, 0.0000], [0.5000, 0.5000, 0.5000], [0.5000, 0.0000, 0.0000]],
  "e_form_raw_mev_per_atom": 1818,
  "magnetic_moment_mub_per_cell": 1.798
}

=====

Record 5
{
  "formula": "InAuCF2",
  "functional": "PBE",
  "state": "relaxed",
  "cell": [[-0.4725, -1.2248, -4.1637], [0.4483, -3.8629, 1.0855], [-4.3130, -0.3353, 0.5881]],
  "species": ["F", "F", "In", "C", "Au"],
  "frac_coords": [[0.0000, 0.0000, 0.5000], [0.5000, 0.0000, 0.0000], [0.5000, 0.5000, 0.5000], [0.0000, 0.0000, 0.0000], [0.0000, 0.5000, 0.0000]],
  "e_form_raw_mev_per_atom": -102,
  "magnetic_moment_mub_per_cell": 0.000
}

=====

Record 6
{
  "formula": "AuCN2F",
  "functional": "PBE",
  "state": "relaxed",
  "cell": [[-2.9850, -1.2137, -2.5237], [-2.5190, -0.4475, 3.1948], [-1.2815, 4.0680, -0.4406]],
  "species": ["N", "F", "Au", "C", "N"],
  "frac_coords": [[0.0000, 0.5000, 0.0000], [0.0000, 0.0000, 0.5000], [0.0000, 0.0000, 0.0000], [0.5000, 0.5000, 0.5000], [0.5000, 0.0000, 0.0000]],
  "e_form_raw_mev_per_atom": 2658,
  "relative_energy_mev_per_atom": 946.8,
  "magnetic_moment_mub_per_cell": 1.545
}

=====

What is the formula in the fifth record? InAuCF2